(1)
A plane-wave DFT calculation with PBE was carried out for a relaxed NdCuPbSeS2 crystal.

Computed properties:
- total moment (Bohr magnetons per cell) = 0.005
- raw total energy (eV/cell) = -60.476
- symmetry = No. 63

abc: 6.994 6.994 10.873
angles: 90.00 90.00 146.55
Atoms (fractional coordinates):
Nd  0.000  0.000  0.000
Nd  0.000  0.000  0.500
Cu  0.469  0.531  0.750
Cu  0.531  0.469  0.250
Pb  0.232  0.768  0.250
Pb  0.768  0.232  0.750
Se  0.087  0.913  0.750
Se  0.913  0.087  0.250
S  0.365  0.635  0.578
S  0.365  0.635  0.922
S  0.635  0.365  0.078
S  0.635  0.365  0.422

=====

(2)
A plane-wave DFT calculation with PBE was carried out for a relaxed TbPrH2I4 crystal.

Computed properties:
- total moment (Bohr magnetons per cell) = 0.001
- raw total energy (eV/cell) = -32.021
- symmetry = No. 187

abc: 4.088 4.088 16.669
angles: 90.00 90.00 120.00
Atoms (fractional coordinates):
Tb  0.000  0.000  0.000
Pr  0.000  0.000  0.500
H  0.333  0.667  0.000
H  0.667  0.333  0.500
I  0.333  0.667  0.368
I  0.333  0.667  0.632
I  0.667  0.333  0.126
I  0.667  0.333  0.874

=====

(3)
A plane-wave DFT calculation with PBE was carried out for a relaxed PmSmI2O2 crystal.

Computed properties:
- total moment (Bohr magnetons per cell) = 0.008
- raw total energy (eV/cell) = -38.600
- symmetry = No. 99

abc: 4.031 4.031 9.250
angles: 90.00 90.00 90.00
Atoms (fractional coordinates):
Pm  0.000  0.000  0.000
Sm  0.500  0.500  0.249
I  0.000  0.000  0.455
I  0.500  0.500  0.794
O  0.000  0.500  0.125
O  0.500  0.000  0.125

=====

(4)
A plane-wave DFT calculation with PBE was carried out for a relaxed DyEr2CuSn3Ir2 crystal.

Computed properties:
- total moment (Bohr magnetons per cell) = 0.000
- raw total energy (eV/cell) = -53.740
- symmetry = No. 38

abc: 3.845 7.526 7.526
angles: 120.12 90.00 90.00
Atoms (fractional coordinates):
Dy  0.000  0.000  0.000
Er  0.000  0.404  0.809
Er  0.000  0.809  0.404
Cu  0.000  0.405  0.405
Sn  0.500  0.143  0.405
Sn  0.500  0.405  0.143
Sn  0.500  0.666  0.666
Ir  0.500  0.072  0.736
Ir  0.500  0.736  0.072

=====

(5)
A plane-wave DFT calculation with PBE was carried out for a relaxed HoPaOs crystal.

Computed properties:
- ΔE_f (eV per atom) = -0.042
- total moment (Bohr magnetons per cell) = 3.436
- raw total energy (eV/cell) = -101.698
- symmetry = No. 216

abc: 6.737 6.737 6.737
angles: 90.00 90.00 90.00
Atoms (fractional coordinates):
Ho  0.000  0.000  0.000
Ho  0.000  0.500  0.500
Ho  0.500  0.000  0.500
Ho  0.500  0.500  0.000
Pa  0.000  0.000  0.500
Pa  0.000  0.500  0.000
Pa  0.500  0.000  0.000
Pa  0.500  0.500  0.500
Os  0.250  0.250  0.250
Os  0.250  0.750  0.750
Os  0.750  0.250  0.750
Os  0.750  0.750  0.250

=====

(6)
A plane-wave DFT calculation with PBE was carried out for a relaxed NbZnCuPb crystal.

Computed properties:
- total moment (Bohr magnetons per cell) = 6.514
- raw total energy (eV/cell) = -67.071
- symmetry = No. 216

abc: 6.646 6.646 6.646
angles: 90.00 90.00 90.00
Atoms (fractional coordinates):
Nb  0.000  0.000  0.000
Nb  0.000  0.500  0.500
Nb  0.500  0.000  0.500
Nb  0.500  0.500  0.000
Zn  0.250  0.250  0.750
Zn  0.250  0.750  0.250
Zn  0.750  0.250  0.250
Zn  0.750  0.750  0.750
Cu  0.000  0.000  0.500
Cu  0.000  0.500  0.000
Cu  0.500  0.000  0.000
Cu  0.500  0.500  0.500
Pb  0.250  0.250  0.250
Pb  0.250  0.750  0.750
Pb  0.750  0.250  0.750
Pb  0.750  0.750  0.250

=====

Q: Which formula does entry 3 have?
A: PmSmI2O2